The following is a PBE calculation of a relaxed KCuH3 crystal, from Alexandria via LeMat-Bulk.

Cell: 2.903 3.463 5.496 Å, 90.00 90.00 90.00°
Fractional positions:
K 0.000 0.000 0.000
Cu 0.000 0.500 0.500
H 0.000 0.000 0.500
H 0.500 0.500 0.300
H 0.500 0.500 0.700

Results
spin magnetization = 0.00 μB/f.u.
polymorph energy (0 for the lowest one) = 152.3 meV/atom
Fermi-level density of states = 0.865 states/eV per cell
space group = Pmmm